Here is a relaxed HfOs3F crystal from Alexandria via LeMat-Bulk. Energies are from PBE.

a = 4.8830 Å, b = 4.8830 Å, c = 4.8830 Å
α = 90.00°, β = 90.00°, γ = 90.00°
Last column: magnetic moment on the atom in μB.
Element x y z (fractional)
Hf: 0.0000 0.0000 0.0000  -0.18
Os: 0.0000 0.5000 0.0000  1.64
Os: 0.0000 0.0000 0.5000  1.53
Os: 0.5000 0.0000 0.0000  1.63
F: 0.5000 0.5000 0.5000  0.22

Summary:
- Energy above the most stable polymorph in this dataset: 1610 meV/atom
- DFT total energy: -6.605 eV/atom
- Energy relative to the elements, uncorrected: 2.498 eV/atom